[1]
Below is a relaxed MgInHg2Bi crystal, with properties calculated at the PBE level.

The crystal system is monoclinic. For the formation energy, the calculation gives -0.046 eV/atom.

It has space group P2_1/m (No. 11), with a = 6.675 Å, b = 4.791 Å, c = 8.869 Å, α = 90.00°, β = 107.88° and γ = 90.00°. The distinct sites, in fractional coordinates, are Mg at (0.182, 0.250, 0.289), In at (0.394, 0.750, 0.839), Hg at (0.120, 0.750, 0.475), Hg at (0.487, 0.250, 0.649) and Bi at (0.133, 0.250, 0.922).

[2]
Below is a relaxed Ti2AsO crystal, with properties calculated at the PBE level.

As for the energy above the most stable polymorph in this dataset: 0.00 eV/f.u. The crystal system is trigonal.

It has space group R-3m (No. 166, hexagonal axes), with a = 4.0156 Å, b = 4.0156 Å, c = 17.2363 Å, α = 90.00°, β = 90.00° and γ = 120.00°. The distinct sites, in fractional coordinates, are Ti at (0.0000, 0.0000, 0.1060), As at (0.0000, 0.0000, 0.5000) and O at (0.0000, 0.0000, 0.0000).

Which formula does entry 1 have?
MgInHg2Bi